[1]
The following is a DFT calculation (GGA-PBEsol) of a relaxed structure of SmCuPb.

Properties
Its space group is P6_3/mmc (194). Its crystal system is hexagonal. As for the formation energy: -0.390 eV per atom. The value obtained for the energy is -4.865 eV per atom.

a b c (Å): 4.5715 4.5715 7.5163
angles (deg): 90.00 90.00 120.00
With the nearest neighbours (Å) after each atom.
Element x y z (fractional)
Sm 0.0000 0.0000 0.0000  6 Pb 3.24, 6 Cu 3.24
Sm 0.0000 0.0000 0.5000  6 Pb 3.24, 6 Cu 3.24
Pb 0.3333 0.6667 0.7500  3 Cu 2.64
Cu 0.6667 0.3333 0.7500  3 Pb 2.64
Pb 0.6667 0.3333 0.2500  3 Cu 2.64
Cu 0.3333 0.6667 0.2500  3 Pb 2.64

[2]
The following is a DFT calculation (GGA-PBEsol) of a relaxed structure of BaBe4Tl.

Properties
Its space group is F-43m (216). Its crystal system is cubic. As for the formation energy: 0.693 eV per atom. The value obtained for the energy is -2.770 eV per atom.

a b c (Å): 5.2890 5.2890 5.2890
angles (deg): 60.00 60.00 60.00
With the nearest neighbours (Å) after each atom.
Element x y z (fractional)
Be 0.3748 0.3748 0.8756  6 Be 2.64-2.65
Tl 0.7500 0.7500 0.7500  12 Be 3.10, 4 Ba 3.24
Be 0.3748 0.3748 0.3748  6 Be 2.64-2.65
Be 0.8756 0.3748 0.3748  6 Be 2.64-2.65
Be 0.3748 0.8756 0.3748  6 Be 2.64-2.65
Ba 0.0000 0.0000 0.0000  12 Be 3.10, 4 Tl 3.24

[3]
The following is a DFT calculation (GGA-PBEsol) of a relaxed structure of Li2Tl3.

Properties
For the energy above the most stable polymorph in this dataset, the calculation gives 0.24 kcal/mol of atoms. Its space group is R-3m (166). Its crystal system is trigonal. As for the formation energy: -0.139 eV per atom. The value obtained for the energy is -2.504 eV per atom.

a b c (Å): 3.3651 3.3651 11.9071
angles (deg): 81.88 81.88 60.00
With the nearest neighbours (Å) after each atom.
Element x y z (fractional)
Li 0.6016 0.6016 0.1951  6 Tl 2.97-3.00
Li 0.3984 0.3984 0.8049  6 Tl 2.97-3.00
Tl 0.7955 0.7955 0.6136  3 Li 2.97, 3 Tl 3.30
Tl 0.2045 0.2045 0.3864  3 Li 2.97, 3 Tl 3.30
Tl 0.0000 0.0000 0.0000  6 Li 3.00

[4]
The following is a DFT calculation (GGA-PBEsol) of a relaxed structure of Lu3Pd4.

Properties
Its space group is R-3 (148). Its crystal system is trigonal. As for the formation energy: -0.985 eV per atom. The value obtained for the energy is -6.478 eV per atom.

a b c (Å): 5.5909 7.5742 7.5742
angles (deg): 114.15 104.24 104.24
With the nearest neighbours (Å) after each atom.
Element x y z (fractional)
Lu 0.0205 0.7469 0.6162  8 Pd 2.79-3.01
Lu 0.2736 0.8692 0.2531  8 Pd 2.79-3.01
Pd 0.0000 0.0000 0.0000  2 Pd 2.80, 6 Lu 2.80
Pd 0.5458 0.3148 0.4796  6 Lu 2.79-3.01, 3 Pd 2.88-2.94
Lu 0.7264 0.1308 0.7469  8 Pd 2.79-3.01
Pd 0.4542 0.6852 0.5204  6 Lu 2.79-3.01, 3 Pd 2.88-2.94
Pd 0.7690 0.8352 0.3148  6 Lu 2.79-3.01, 3 Pd 2.88-2.94
Lu 0.4044 0.3838 0.1308  8 Pd 2.79-3.01
Pd 0.0662 0.5204 0.8352  6 Lu 2.79-3.01, 3 Pd 2.88-2.94
Pd 0.5000 0.0000 0.0000  2 Pd 2.80, 6 Lu 2.90
Pd 0.9338 0.4796 0.1648  6 Lu 2.79-3.01, 3 Pd 2.88-2.94
Pd 0.2310 0.1648 0.6852  6 Lu 2.79-3.01, 3 Pd 2.88-2.94
Lu 0.9795 0.2531 0.3838  8 Pd 2.79-3.01
Lu 0.5956 0.6162 0.8692  8 Pd 2.79-3.01

- Which value of energy does entry 2 give?
  -2.770 eV per atom

- Number 1 is which compound?
  SmCuPb

- Look up the energy of the fourth one.
  -6.478 eV per atom